The following is a DFT calculation (GGA+U) of a relaxed Tb2MoO6 crystal.

Unit cell a=5.027 b=5.027 c=10.030 alpha=90.00 beta=90.00 gamma=90.00
Element x y z (fractional)
Tb (0.000, 0.000, 0.168)
Tb (0.000, 0.000, 0.832)
Tb (0.500, 0.500, 0.332)
Tb (0.500, 0.500, 0.668)
Mo (0.000, 0.000, 0.500)
Mo (0.500, 0.500, 0.000)
O (0.184, 0.184, 0.355)
O (0.184, 0.184, 0.645)
O (0.225, 0.225, 0.000)
O (0.275, 0.725, 0.500)
O (0.316, 0.684, 0.145)
O (0.316, 0.684, 0.855)
O (0.684, 0.316, 0.145)
O (0.684, 0.316, 0.855)
O (0.725, 0.275, 0.500)
O (0.775, 0.775, 0.000)
O (0.816, 0.816, 0.355)
O (0.816, 0.816, 0.645)

Crystal system   tetragonal
Electronic total energy   -7.81 eV/atom
M_tot   0.00 μB/f.u.